{"formula": "Pm3Nd4Tl", "functional": "GGA-PBE", "state": "optimized geometry", "magmom_total_mub_per_cell": 0.00, "delta_e_f_ev_per_fu": -0.5, "spacegroup": "No. 59", "polymorph_energy_mev_per_atom": 0.0, "cell": [[5.005, 0.000, 0.000], [0.000, 10.241, 0.000], [0.000, 0.000, 10.281]], "species": ["Nd", "Nd", "Nd", "Nd", "Nd", "Nd", "Nd", "Nd", "Pm", "Pm", "Pm", "Pm", "Pm", "Pm", "Tl", "Tl"], "frac_coords": [[0.064, 0.633, 0.500], [0.064, 0.366, 0.755], [0.064, 0.366, 0.245], [0.064, 0.628, 0.000], [0.564, 0.372, 0.500], [0.564, 0.634, 0.745], [0.564, 0.367, 0.000], [0.564, 0.634, 0.255], [0.564, 0.879, 0.000], [0.064, 0.884, 0.754], [0.064, 0.884, 0.246], [0.564, 0.116, 0.254], [0.064, 0.121, 0.500], [0.564, 0.116, 0.746], [0.565, 0.878, 0.500], [0.065, 0.122, 0.000]]}